1.
Below is crystalline LiTa2Te at its relaxed geometry, with properties calculated at the PBE-GGA level.

For the uncorrected formation energy, the calculation gives 0.054 eV/atom.

It has space group P4mm (No. 99), with a = 3.5509 Å, b = 3.5509 Å, c = 5.9334 Å, α = 90.00°, β = 90.00° and γ = 90.00°. The distinct sites, in fractional coordinates, are Li at (0.0000, 0.0000, 0.0000), Ta at (0.0000, 0.0000, 0.4778), Ta at (0.5000, 0.5000, 0.2673) and Te at (0.5000, 0.5000, 0.7689).

2.
Below is crystalline Mn2Zn2Bi at its relaxed geometry, with properties calculated at the PBE-GGA level.

The value obtained for the formation energy is 0.31 eV/atom.

It has space group P4/mbm (No. 127), with a = 7.5103 Å, b = 7.5103 Å, c = 3.1537 Å, α = 90.00°, β = 90.00° and γ = 90.00°. The distinct sites, in fractional coordinates, are Mn at (0.1287, 0.3713, 0.0000), Zn at (0.1644, 0.6644, 0.5000) and Bi at (0.0000, 0.0000, 0.0000).

3.
Below is crystalline CaLa2ZnIr at its relaxed geometry, with properties calculated at the PBE-GGA level.

The value obtained for the formation energy is -0.29 eV/atom.

It has space group P4/mmm (No. 123), with a = 5.5828 Å, b = 5.5828 Å, c = 5.0974 Å, α = 90.00°, β = 90.00° and γ = 90.00°. The distinct sites, in fractional coordinates, are Ca at (0.0000, 0.0000, 0.0000), La at (0.0000, 0.5000, 0.5000), Zn at (0.5000, 0.5000, 0.0000) and Ir at (0.5000, 0.5000, 0.5000).

4.
Below is crystalline SrLi2Au at its relaxed geometry, with properties calculated at the PBE-GGA level.

The value obtained for the formation energy is -0.27 eV/atom.

It has space group I-42d (No. 122), with a = 4.5020 Å, b = 4.5020 Å, c = 20.2864 Å, α = 90.00°, β = 90.00° and γ = 90.00°. The distinct sites, in fractional coordinates, are Sr at (0.0000, 0.0000, 0.0000), Li at (0.1459, 0.2500, 0.6250) and Au at (0.0000, 0.0000, 0.5000).

5.
Below is crystalline Rb2CdAgBr5 at its relaxed geometry, with properties calculated at the PBE-GGA level.

For the uncorrected formation energy, the calculation gives -1.145 eV/atom.

It has space group Cmc2_1 (No. 36), with a = 4.4229 Å, b = 20.3245 Å, c = 14.0637 Å, α = 90.00°, β = 90.00° and γ = 90.00°. The distinct sites, in fractional coordinates, are Rb at (0.0000, 0.1150, 0.0000), Rb at (0.0000, 0.1294, 0.6165), Cd at (0.0000, 0.2134, 0.3272), Ag at (0.0000, 0.4412, 0.7423), Br at (0.0000, 0.0769, 0.3499), Br at (0.0000, 0.2834, 0.9612), Br at (0.0000, 0.3006, 0.6896), Br at (0.0000, 0.3462, 0.3113) and Br at (0.0000, 0.4979, 0.0795).

6.
Below is crystalline CsBi2Cl8 at its relaxed geometry, with properties calculated at the PBE-GGA level.

For the uncorrected formation energy, the calculation gives -1.022 eV/atom.

It has space group C2/m (No. 12), with a = 11.8307 Å, b = 8.2725 Å, c = 8.2582 Å, α = 90.00°, β = 98.45° and γ = 90.00°. The distinct sites, in fractional coordinates, are Cs at (0.0000, 0.0000, 0.0000), Bi at (0.1645, 0.5000, 0.4223), Cl at (0.0550, 0.5000, 0.7162), Cl at (0.1297, 0.1769, 0.3923) and Cl at (0.2332, 0.5000, 0.1441).